# MnAs2Cl

A geometry-optimized MnAs2Cl structure (PBE, the Alexandria database).

Lattice parameters (Å, degrees): 4.7363 4.7363 4.7363 60.00 60.00 60.00
Last column: nearest neighbours and their distance in Å.
Element x y z (fractional)
1 Mn 0.0000 0.0000 0.0000  4 Cl 2.90, 4 As 2.90
2 As 0.2500 0.2500 0.2500  4 As 2.90, 4 Mn 2.90
3 As 0.5000 0.5000 0.5000  4 Cl 2.90, 4 As 2.90
4 Cl 0.7500 0.7500 0.7500  4 As 2.90, 4 Mn 2.90

Calculated values
* SG: F-43m (216)
* uncorrected formation energy: 0.320 eV per atom
* offset from the most stable computed form: 208.4 kJ/mol of formula units
* N(E_F): 3.2 states/eV/f.u.

=====

# MnAsCl

A geometry-optimized MnAsCl structure (PBE, the Alexandria database).

Lattice parameters (Å, degrees): 7.7332 7.4514 3.2064 82.79 72.93 24.29
Last column: nearest neighbours and their distance in Å.
Element x y z (fractional)
1 Mn 0.0000 0.0000 0.0000  2 Cl 2.39, 2 As 2.47
2 As 0.3788 0.3788 0.6212  2 Mn 2.47
3 Cl 0.6141 0.6141 0.3859  2 Mn 2.39

Calculated values
* SG: Fmm2 (42)
* uncorrected formation energy: -0.236 eV per atom
* offset from the most stable computed form: 56.6 kJ/mol of formula units
* N(E_F): 1.3 states/eV/f.u.

=====

# MnAs2Cl

A geometry-optimized MnAs2Cl structure (PBE, the Alexandria database).

Lattice parameters (Å, degrees): 6.6707 6.6707 6.6707 148.02 148.02 45.86
Last column: nearest neighbours and their distance in Å.
Element x y z (fractional)
1 Mn 0.0000 0.0000 0.0000  4 Cl 2.60
2 As 0.2500 0.7500 0.5000  4 As 2.60
3 As 0.7500 0.2500 0.5000  4 As 2.60
4 Cl 0.5000 0.5000 0.0000  4 Mn 2.60

Calculated values
* SG: I4/mmm (139)
* uncorrected formation energy: 0.146 eV per atom
* offset from the most stable computed form: 141.3 kJ/mol of formula units
* N(E_F): 2.2 states/eV/f.u.

=====

Question: Number 3 is which compound?
Answer: MnAs2Cl

=====

Question: Which of these has the lowest uncorrected formation energy?
Answer: MnAsCl

=====

Question: Which formula does entry 2 have?
Answer: MnAsCl